1.
## LiEr3Pt4 (PBE-GGA)

Data for an optimized crystal structure of LiEr3Pt4.

Structure (extended XYZ):
```
8
Lattice="3.414 -3.411 0.000 3.414 3.411 0.000 -3.394 0.000 6.653" Properties=species:S:1:pos:R:3 pbc="T T T"
Li 0.000 0.000 0.000
Er 0.012 0.000 3.214
Er 3.414 0.000 0.000
Er 3.423 0.000 3.440
Pt 1.714 1.709 1.634
Pt 1.720 1.709 5.019
Pt 1.714 -1.709 1.634
Pt 1.720 -1.709 5.019
```

Calculated values
E_tot in eV per atom: -6.09
Calculated formation energy in eV per formula unit: -8.9
Space-group type: C2/m (12)
N(E_F) in states/eV/f.u.: 3.60
Total moment in μB per formula unit: 0.00



2.
## Mn2NbAu (PBE-GGA)

Data for an optimized crystal structure of Mn2NbAu.

Structure (extended XYZ):
```
4
Lattice="0.000 3.145 3.145 3.145 0.000 3.145 3.145 3.145 0.000" Properties=species:S:1:pos:R:3 pbc="T T T"
Mn 1.573 1.573 1.573
Mn 4.718 4.718 4.718
Nb 0.000 0.000 0.000
Au 3.145 3.145 3.145
```

Calculated values
E_tot in eV per atom: -7.90
Calculated formation energy in eV per formula unit: 0.1
Space-group type: Fm-3m (225)
Excess energy over the best structure of this formula in the dataset in kJ per mole of atoms: 2.02
N(E_F) in states/eV/f.u.: 3.77
Total moment in μB per formula unit: 5.63



3.
## YMo (PBE-GGA)

Data for an optimized crystal structure of YMo.

Structure (extended XYZ):
```
4
Lattice="3.331 0.000 0.000 -1.665 2.885 0.000 0.000 0.000 9.798" Properties=species:S:1:pos:R:3 pbc="T T T"
Y 0.000 1.923 3.265
Y 1.665 0.962 6.533
Mo 0.000 1.923 8.960
Mo 1.665 0.962 0.839
```

Calculated values
E_tot in eV per atom: -8.23
Calculated formation energy in eV per formula unit: 0.8
Space-group type: P-3m1 (164)
Excess energy over the best structure of this formula in the dataset in kJ per mole of atoms: 27.22
N(E_F) in states/eV/f.u.: 2.93
Total moment in μB per formula unit: 0.00



4.
## CaYTl (PBE-GGA)

Data for an optimized crystal structure of CaYTl.

Structure (extended XYZ):
```
6
Lattice="3.899 0.000 0.000 0.000 5.202 0.000 0.000 0.000 9.209" Properties=species:S:1:pos:R:3 pbc="T T T"
Ca 0.975 1.300 1.119
Ca 2.924 3.901 8.089
Y 0.975 3.901 5.074
Y 2.924 1.300 4.135
Tl 0.975 1.300 6.980
Tl 2.924 3.901 2.228
```

Calculated values
E_tot in eV per atom: -3.87
Calculated formation energy in eV per formula unit: -0.8
Space-group type: Pmmn (59)
Excess energy over the best structure of this formula in the dataset in kJ per mole of atoms: 8.52
N(E_F) in states/eV/f.u.: 3.37
Total moment in μB per formula unit: 0.00



5.
## Ba2Sr2Ni (PBE-GGA)

Data for an optimized crystal structure of Ba2Sr2Ni.

Structure (extended XYZ):
```
10
Lattice="-2.761 2.761 14.443 2.761 -2.761 14.443 2.761 2.761 -14.443" Properties=species:S:1:pos:R:3 pbc="T T T"
Ba 2.761 1.381 -5.502
Ba 0.000 1.381 1.719
Ba 2.761 1.381 12.724
Ba 0.000 1.381 19.945
Sr 2.761 1.381 -1.801
Sr 0.000 1.381 5.420
Sr 2.761 1.381 9.023
Sr 0.000 1.381 16.244
Ni 2.761 -1.381 10.832
Ni 0.000 4.142 3.611
```

Calculated values
E_tot in eV per atom: -2.49
Calculated formation energy in eV per formula unit: 0.6
Space-group type: I4_1/amd (141)
Excess energy over the best structure of this formula in the dataset in kJ per mole of atoms: 0.00
N(E_F) in states/eV/f.u.: 5.66
Total moment in μB per formula unit: 0.00



6.
## K2HgPd3 (PBE-GGA)

Data for an optimized crystal structure of K2HgPd3.

Structure (extended XYZ):
```
6
Lattice="4.913 -2.889 0.000 4.913 2.889 0.000 -3.204 0.000 4.696" Properties=species:S:1:pos:R:3 pbc="T T T"
K -0.013 0.000 1.775
K 6.634 0.000 2.921
Hg 4.913 0.000 0.000
Pd 2.456 1.445 0.000
Pd 2.456 -1.445 0.000
Pd 3.310 0.000 2.348
```

Calculated values
E_tot in eV per atom: -3.18
Calculated formation energy in eV per formula unit: -1.0
Space-group type: C2/m (12)
N(E_F) in states/eV/f.u.: 2.13
Total moment in μB per formula unit: 0.00



7.
## TaMn2Ni (PBE-GGA)

Data for an optimized crystal structure of TaMn2Ni.

Structure (extended XYZ):
```
4
Lattice="1.392 0.804 8.462 -1.392 0.804 8.462 0.000 -1.607 8.462" Properties=species:S:1:pos:R:3 pbc="T T T"
Ta 0.000 0.000 0.000
Mn 0.000 0.000 6.186
Mn 0.000 0.000 19.200
Ni 0.000 0.000 12.693
```

Calculated values
E_tot in eV per atom: -8.75
Calculated formation energy in eV per formula unit: 1.0
Space-group type: R-3m (166)
Excess energy over the best structure of this formula in the dataset in kJ per mole of atoms: 28.82
N(E_F) in states/eV/f.u.: 3.60
Total moment in μB per formula unit: 6.22



8.
## CaSi2PdPt2 (PBE-GGA)

Data for an optimized crystal structure of CaSi2PdPt2.

Structure (extended XYZ):
```
6
Lattice="4.208 0.000 0.000 -2.104 3.645 0.000 0.000 0.000 6.908" Properties=species:S:1:pos:R:3 pbc="T T T"
Ca 0.000 0.000 0.000
Si 0.000 2.430 2.174
Si 2.104 1.215 4.734
Pd 0.000 0.000 3.454
Pt 0.000 2.430 4.822
Pt 2.104 1.215 2.085
```

Calculated values
E_tot in eV per atom: -5.88
Space-group type: P-3m1 (164)
N(E_F) in states/eV/f.u.: 2.19
Total moment in μB per formula unit: 0.00
Formation energy (no corrections) in meV per atom: -864